Material: Co3WCl
Method: DFT, PBE-GGA
State: relaxed

Summary:
**Offset from the most stable computed form**: 0.000 eV/atom
**Uncorrected formation energy**: 1.167 eV per atom
**V**: 13.44 A^3/atom
**Total moment**: 0.501 μB/atom

Lattice parameters (Å, degrees): 4.065 4.065 4.065 90.00 90.00 90.00
Site moments in Bohr magnetons follow the coordinates.
Element x y z (fractional)
W (0.500, 0.500, 0.500)  0.69
Cl (0.000, 0.000, 0.000)  0.01
Co (0.000, 0.500, 0.000)  0.58
Co (0.500, 0.000, 0.000)  0.63
Co (0.000, 0.000, 0.500)  0.46

---

Material: CoW4Cl
Method: DFT, PBE-GGA
State: relaxed

Summary:
**Uncorrected formation energy**: 1.268 eV per atom
**V**: 17.40 A^3/atom
**Total moment**: 0.167 μB/atom

Lattice parameters (Å, degrees): 5.285 5.285 5.285 60.00 60.00 60.00
Site moments in Bohr magnetons follow the coordinates.
Element x y z (fractional)
Cl (0.750, 0.750, 0.750)  -0.01
W (0.375, 0.874, 0.375)  -0.04
W (0.375, 0.375, 0.375)  -0.04
Co (0.000, 0.000, 0.000)  1.31
W (0.375, 0.375, 0.874)  -0.04
W (0.874, 0.375, 0.375)  -0.04

---

Material: CoW3Cl
Method: DFT, PBE-GGA
State: relaxed

Summary:
**Offset from the most stable computed form**: 0.000 eV/atom
**Uncorrected formation energy**: 1.710 eV per atom
**V**: 16.59 A^3/atom
**Total moment**: 0.403 μB/atom

Lattice parameters (Å, degrees): 4.361 4.361 4.361 90.00 90.00 90.00
Site moments in Bohr magnetons follow the coordinates.
Element x y z (fractional)
W (0.000, 0.000, 0.500)  0.11
Co (0.500, 0.500, 0.500)  1.80
W (0.500, 0.000, 0.000)  0.06
Cl (0.000, 0.000, 0.000)  0.00
W (0.000, 0.500, 0.000)  0.04

---

Material: Co3WCl
Method: DFT, PBE-GGA
State: relaxed

Summary:
**Offset from the most stable computed form**: 0.475 eV/atom
**Uncorrected formation energy**: 1.643 eV per atom
**V**: 18.96 A^3/atom
**Total moment**: 0.477 μB/atom

Lattice parameters (Å, degrees): 4.559 4.559 4.559 90.00 90.00 90.00
Site moments in Bohr magnetons follow the coordinates.
Element x y z (fractional)
W (0.000, 0.000, 0.000)  -0.16
Co (0.000, 0.000, 0.500)  1.00
Co (0.000, 0.500, 0.000)  0.89
Co (0.500, 0.000, 0.000)  0.53
Cl (0.500, 0.500, 0.500)  0.10

---

Material: CoW3Cl
Method: DFT, PBE-GGA
State: relaxed

Summary:
**Offset from the most stable computed form**: 0.165 eV/atom
**Uncorrected formation energy**: 1.875 eV per atom
**V**: 18.65 A^3/atom
**Total moment**: 0.000 μB/atom

Lattice parameters (Å, degrees): 4.535 4.535 4.535 90.00 90.00 90.00
Element x y z (fractional)
W (0.500, 0.000, 0.000)
W (0.000, 0.000, 0.500)
Cl (0.500, 0.500, 0.500)
Co (0.000, 0.000, 0.000)
W (0.000, 0.500, 0.000)

---

Material: YCoCl2
Method: DFT, PBE-GGA
State: relaxed

Summary:
**Offset from the most stable computed form**: 0.396 eV/atom
**Uncorrected formation energy**: -0.577 eV per atom
**V**: 21.26 A^3/atom
**Total moment**: 0.269 μB/atom

Lattice parameters (Å, degrees): 4.482 5.324 4.412 65.59 89.85 114.82
Site moments in Bohr magnetons follow the coordinates.
Element x y z (fractional)
Y (0.500, 0.500, 0.000)  -0.15
Cl (0.500, 0.000, 0.500)  0.01
Cl (0.000, 0.000, 0.000)  0.01
Co (0.000, 0.500, 0.500)  1.40

---

Material: YCoCl2
Method: DFT, PBE-GGA
State: relaxed

Summary:
**Offset from the most stable computed form**: 0.521 eV/atom
**Uncorrected formation energy**: -0.452 eV per atom
**V**: 26.86 A^3/atom
**Total moment**: 0.637 μB/atom

Lattice parameters (Å, degrees): 10.515 10.515 10.515 18.98 18.98 18.98
Site moments in Bohr magnetons follow the coordinates.
Element x y z (fractional)
Cl (0.024, 0.024, 0.024)  0.01
Y (0.750, 0.750, 0.750)  0.22
Cl (0.476, 0.476, 0.476)  0.01
Co (0.250, 0.250, 0.250)  2.13

---

Material: Y3CoCl
Method: DFT, PBE-GGA
State: relaxed

Summary:
**Offset from the most stable computed form**: 0.000 eV/atom
**Uncorrected formation energy**: -0.223 eV per atom
**V**: 29.09 A^3/atom
**Total moment**: 0.000 μB/atom

Lattice parameters (Å, degrees): 5.259 5.259 5.259 90.00 90.00 90.00
Element x y z (fractional)
Y (0.000, 0.000, 0.500)
Y (0.500, 0.000, 0.000)
Cl (0.500, 0.500, 0.500)
Y (0.000, 0.500, 0.000)
Co (0.000, 0.000, 0.000)

---

Material: YCoCl4
Method: DFT, PBE-GGA
State: relaxed

Summary:
**Uncorrected formation energy**: 0.218 eV per atom
**V**: 22.80 A^3/atom
**Total moment**: 0.635 μB/atom

Lattice parameters (Å, degrees): 5.783 5.783 5.783 60.00 60.00 60.00
Site moments in Bohr magnetons follow the coordinates.
Element x y z (fractional)
Co (0.750, 0.750, 0.750)  2.24
Cl (0.874, 0.375, 0.375)  0.26
Cl (0.375, 0.874, 0.375)  0.26
Cl (0.375, 0.375, 0.874)  0.26
Y (0.000, 0.000, 0.000)  0.03
Cl (0.375, 0.375, 0.375)  0.26

---

Material: YCoCl2
Method: DFT, PBE-GGA
State: relaxed

Summary:
**Offset from the most stable computed form**: 0.581 eV/atom
**Uncorrected formation energy**: -0.392 eV per atom
**V**: 19.35 A^3/atom
**Total moment**: 0.505 μB/atom

Lattice parameters (Å, degrees): 3.520 3.522 6.245 90.00 90.00 90.00
Site moments in Bohr magnetons follow the coordinates.
Element x y z (fractional)
Cl (0.000, 0.000, 0.512)  0.02
Co (0.500, 0.500, 0.250)  1.91
Cl (0.000, 0.000, 0.988)  0.02
Y (0.500, 0.500, 0.750)  -0.02

---

Material: YCoCl2
Method: DFT, PBE-GGA
State: relaxed

Summary:
**Offset from the most stable computed form**: 0.190 eV/atom
**Uncorrected formation energy**: -0.783 eV per atom
**V**: 22.89 A^3/atom
**Total moment**: 0.486 μB/atom

Lattice parameters (Å, degrees): 3.368 3.368 8.072 90.00 90.00 89.99
Site moments in Bohr magnetons follow the coordinates.
Element x y z (fractional)
Co (0.000, 0.000, 0.483)  1.80
Cl (0.000, 0.000, 0.931)  0.00
Cl (0.500, 0.500, 0.371)  0.11
Y (0.500, 0.500, 0.715)  -0.03

---

Material: YCoCl2
Method: DFT, PBE-GGA
State: relaxed

Summary:
**Offset from the most stable computed form**: 0.344 eV/atom
**Uncorrected formation energy**: -0.629 eV per atom
**V**: 21.39 A^3/atom
**Total moment**: 0.389 μB/atom

Lattice parameters (Å, degrees): 8.526 8.526 8.526 23.36 23.36 23.36
Site moments in Bohr magnetons follow the coordinates.
Element x y z (fractional)
Co (0.000, 0.000, 0.000)  1.65
Cl (0.911, 0.911, 0.911)  0.00
Y (0.500, 0.500, 0.500)  -0.01
Cl (0.089, 0.089, 0.089)  0.00

---

Material: YCoCl2
Method: DFT, PBE-GGA
State: relaxed

Summary:
**Offset from the most stable computed form**: 0.149 eV/atom
**Uncorrected formation energy**: -0.824 eV per atom
**V**: 25.22 A^3/atom
**Total moment**: 0.500 μB/atom

Lattice parameters (Å, degrees): 8.774 8.774 8.774 24.34 24.34 24.34
Site moments in Bohr magnetons follow the coordinates.
Element x y z (fractional)
Cl (0.212, 0.212, 0.212)  0.12
Co (0.505, 0.505, 0.505)  1.83
Y (0.759, 0.759, 0.759)  -0.01
Cl (0.023, 0.023, 0.023)  0.00

---

Material: YCoCl2
Method: DFT, PBE-GGA
State: relaxed

Summary:
**Offset from the most stable computed form**: 0.472 eV/atom
**Uncorrected formation energy**: -0.501 eV per atom
**V**: 18.96 A^3/atom
**Total moment**: 0.332 μB/atom

Lattice parameters (Å, degrees): 5.648 5.648 5.648 139.32 139.32 58.89
Site moments in Bohr magnetons follow the coordinates.
Element x y z (fractional)
Co (0.500, 0.500, 0.000)  1.57
Cl (0.250, 0.750, 0.500)  0.00
Y (0.750, 0.250, 0.500)  -0.16
Cl (0.000, 0.000, 0.000)  0.02

---

Material: YCoCl
Method: DFT, PBE-GGA
State: relaxed

Summary:
**Uncorrected formation energy**: -0.368 eV per atom
**V**: 17.11 A^3/atom
**Total moment**: 0.000 μB/atom

Lattice parameters (Å, degrees): 4.068 4.068 3.583 90.00 90.00 120.00
Element x y z (fractional)
Y (0.667, 0.333, 0.667)
Co (0.333, 0.667, 0.167)
Cl (0.000, 0.000, 0.167)

---

Material: YCo3Cl
Method: DFT, PBE-GGA
State: relaxed

Summary:
**Offset from the most stable computed form**: 0.000 eV/atom
**Uncorrected formation energy**: 0.369 eV per atom
**V**: 15.13 A^3/atom
**Total moment**: 0.221 μB/atom

Lattice parameters (Å, degrees): 4.230 4.230 4.230 90.00 90.00 90.00
Site moments in Bohr magnetons follow the coordinates.
Element x y z (fractional)
Cl (0.000, 0.000, 0.000)  0.01
Y (0.500, 0.500, 0.500)  -0.10
Co (0.500, 0.000, 0.000)  0.57
Co (0.000, 0.500, 0.000)  0.50
Co (0.000, 0.000, 0.500)  0.29

---

Material: YCoCl2
Method: DFT, PBE-GGA
State: relaxed

Summary:
**Offset from the most stable computed form**: 0.436 eV/atom
**Uncorrected formation energy**: -0.537 eV per atom
**V**: 20.80 A^3/atom
**Total moment**: 0.299 μB/atom

Lattice parameters (Å, degrees): 4.133 4.488 4.487 88.71 90.00 90.00
Site moments in Bohr magnetons follow the coordinates.
Element x y z (fractional)
Cl (0.000, 0.476, 0.477)  0.02
Cl (0.000, 0.024, 0.023)  0.02
Y (0.500, 0.750, 0.750)  -0.06
Co (0.500, 0.250, 0.250)  1.31

---

Material: Y4CoCl5
Method: DFT, PBE-GGA
State: relaxed

Summary:
**Uncorrected formation energy**: -1.556 eV per atom
**V**: 30.66 A^3/atom
**Total moment**: 0.000 μB/atom

Lattice parameters (Å, degrees): 3.816 8.178 10.010 89.78 100.99 90.00
Element x y z (fractional)
Co (0.500, 0.000, 0.000)
Y (0.366, 0.001, 0.733)
Cl (0.845, 0.768, 0.691)
Y (0.000, 0.219, 0.000)
Cl (0.155, 0.766, 0.309)
Cl (0.155, 0.232, 0.309)
Cl (0.500, 0.500, 0.000)
Cl (0.845, 0.234, 0.691)
Y (0.634, 0.999, 0.267)
Y (0.000, 0.781, 0.000)

---

Material: YCoCl2
Method: DFT, PBE-GGA
State: relaxed

Summary:
**Offset from the most stable computed form**: 0.536 eV/atom
**Uncorrected formation energy**: -0.437 eV per atom
**V**: 21.36 A^3/atom
**Total moment**: 0.442 μB/atom

Lattice parameters (Å, degrees): 3.614 3.614 7.871 90.00 90.00 123.79
Site moments in Bohr magnetons follow the coordinates.
Element x y z (fractional)
Y (0.500, 0.500, 0.750)  0.02
Cl (0.000, 0.000, 0.039)  0.03
Cl (0.000, 0.000, 0.461)  0.03
Co (0.500, 0.500, 0.250)  1.74

---

Material: YCoCl5
Method: DFT, PBE-GGA
State: relaxed

Summary:
**Uncorrected formation energy**: -1.497 eV per atom
**V**: 30.93 A^3/atom
**Total moment**: 0.429 μB/atom

Lattice parameters (Å, degrees): 7.055 7.055 10.166 111.93 111.94 87.19
Site moments in Bohr magnetons follow the coordinates.
Element x y z (fractional)
Cl (0.795, 0.766, 0.453)  0.07
Cl (0.205, 0.234, 0.547)  0.07
Co (0.886, 0.614, 0.250)  2.45
Cl (0.266, 0.295, 0.953)  0.07
Cl (0.836, 0.267, 0.166)  0.08
Y (0.500, 0.000, 0.500)  0.03
Co (0.114, 0.386, 0.750)  2.45
Cl (0.767, 0.336, 0.666)  0.08
Cl (0.734, 0.705, 0.047)  0.07
Cl (0.420, 0.079, 0.250)  0.00
Y (0.500, 0.000, 0.000)  0.03
Cl (0.580, 0.921, 0.750)  0.00
Cl (0.164, 0.733, 0.834)  0.08
Cl (0.233, 0.664, 0.334)  0.08